1.
CoIrSe2: relaxed, GGA-PBE.

Properties
- Density of states at the Fermi level: 13.10 states/eV per cell
- Symmetry: I-42d
- Offset from the most stable computed form: 179 meV per atom
- Raw formation energy: 0.084 eV/atom

a b c (Å): 5.458 5.458 10.647
angles (deg): 90.00 90.00 90.00
Fractional coordinates of all 16 atoms:
1 Co 0.000 0.000 0.000
2 Co 0.000 0.500 0.250
3 Co 0.500 0.000 0.750
4 Co 0.500 0.500 0.500
5 Ir 0.000 0.000 0.500
6 Ir 0.000 0.500 0.750
7 Ir 0.500 0.000 0.250
8 Ir 0.500 0.500 0.000
9 Se 0.229 0.250 0.125
10 Se 0.250 0.729 0.375
11 Se 0.250 0.771 0.875
12 Se 0.271 0.250 0.625
13 Se 0.729 0.750 0.625
14 Se 0.750 0.229 0.875
15 Se 0.750 0.271 0.375
16 Se 0.771 0.750 0.125

=====

2.
BeS: relaxed, GGA-PBE.

Properties
- Density of states at the Fermi level: 0.00 states/eV per cell
- Symmetry: Pm-3n
- Offset from the most stable computed form: 159 meV per atom
- Raw formation energy: -0.908 eV/atom

a b c (Å): 6.004 6.004 6.004
angles (deg): 90.00 90.00 90.00
Fractional coordinates of all 12 atoms:
1 Be 0.000 0.250 0.500
2 Be 0.000 0.750 0.500
3 Be 0.250 0.500 0.000
4 Be 0.500 0.000 0.250
5 Be 0.500 0.000 0.750
6 Be 0.750 0.500 0.000
7 S 0.000 0.500 0.250
8 S 0.000 0.500 0.750
9 S 0.250 0.000 0.500
10 S 0.500 0.250 0.000
11 S 0.500 0.750 0.000
12 S 0.750 0.000 0.500

=====

3.
CrAs2Pd: relaxed, GGA-PBE.

Properties
- Density of states at the Fermi level: 10.62 states/eV per cell
- Symmetry: R3m
- DFT formation energy: -41 meV/atom

a b c (Å): 3.037 3.037 23.368
angles (deg): 90.00 90.00 120.00
Fractional coordinates of all 12 atoms:
1 Cr 0.000 0.000 0.000
2 Cr 0.333 0.667 0.667
3 Cr 0.667 0.333 0.333
4 As 0.000 0.000 0.407
5 As 0.000 0.000 0.591
6 As 0.333 0.667 0.074
7 As 0.333 0.667 0.258
8 As 0.667 0.333 0.740
9 As 0.667 0.333 0.924
10 Pd 0.000 0.000 0.160
11 Pd 0.333 0.667 0.826
12 Pd 0.667 0.333 0.493

=====

4.
LaY2Bi2: relaxed, GGA-PBE.

Properties
- Density of states at the Fermi level: 10.90 states/eV per cell
- Symmetry: C2/c
- DFT formation energy: -526 meV/atom
- Offset from the most stable computed form: 213 meV per atom

a b c (Å): 8.182 8.182 6.317
angles (deg): 110.80 110.80 99.10
Fractional coordinates of all 10 atoms:
1 La 0.102 0.898 0.750
2 La 0.898 0.102 0.250
3 Y 0.227 0.413 0.014
4 Y 0.413 0.227 0.514
5 Y 0.587 0.773 0.486
6 Y 0.773 0.587 0.986
7 Bi 0.183 0.817 0.250
8 Bi 0.374 0.626 0.750
9 Bi 0.626 0.374 0.250
10 Bi 0.817 0.183 0.750

=====

5.
TlInPt2: relaxed, GGA-PBE.

Properties
- Density of states at the Fermi level: 2.47 states/eV per cell
- Symmetry: C2/m
- DFT formation energy: -121 meV/atom

a b c (Å): 7.300 3.005 7.685
angles (deg): 90.00 102.20 90.00
Fractional coordinates of all 8 atoms:
1 Tl 0.000 0.000 0.000
2 Tl 0.500 0.500 0.000
3 In 0.000 0.500 0.500
4 In 0.500 0.000 0.500
5 Pt 0.250 0.000 0.738
6 Pt 0.250 0.500 0.262
7 Pt 0.750 0.000 0.262
8 Pt 0.750 0.500 0.738

=====

6.
BaY: relaxed, GGA-PBE.

Properties
- Density of states at the Fermi level: 9.42 states/eV per cell
- Symmetry: R-3m
- DFT formation energy: 279 meV/atom
- Offset from the most stable computed form: 120 meV per atom

a b c (Å): 3.861 3.861 19.344
angles (deg): 90.00 90.00 120.00
Fractional coordinates of all 6 atoms:
1 Ba 0.000 0.000 0.000
2 Ba 0.333 0.667 0.667
3 Ba 0.667 0.333 0.333
4 Y 0.000 0.000 0.500
5 Y 0.333 0.667 0.167
6 Y 0.667 0.333 0.833

=====

> The lowest density of states at the Fermi level belongs to which entry?

BeS

=====

> What is the formula in the sixth record?

BaY

=====

> Look up the density of states at the Fermi level of the fifth one.

2.47 states/eV per cell

=====

> Among the records above, which one has the lowest density of states at the Fermi level?

BeS